A plane-wave DFT calculation with GGA-PBE was carried out for crystalline KCaMg14 at its relaxed geometry.

a b c (Å): 10.7485 6.7136 6.7136
angles (deg): 57.96 90.00 90.00
Atoms (fractional coordinates):
K (0.0000, 0.0000, 0.0000)
Ca (0.0000, 0.4970, 0.4970)
Mg (0.0000, 0.9999, 0.5017)
Mg (0.0000, 0.5017, 0.9999)
Mg (0.2523, 0.6653, 0.6653)
Mg (0.2566, 0.1679, 0.1679)
Mg (0.2665, 0.1615, 0.6574)
Mg (0.2665, 0.6574, 0.1615)
Mg (0.5000, 0.0018, 0.0018)
Mg (0.5000, 0.4985, 0.9964)
Mg (0.5000, 0.5023, 0.5023)
Mg (0.5000, 0.9964, 0.4985)
Mg (0.7335, 0.1615, 0.6574)
Mg (0.7335, 0.6574, 0.1615)
Mg (0.7434, 0.1679, 0.1679)
Mg (0.7477, 0.6653, 0.6653)

Summary:
Energy relative to the elements: 0.095 eV per atom
Final energy: -1.49 eV per atom
Space-group type: No. 38
Energy above the most stable polymorph in this dataset: 12 meV per atom